[1]
ErAl2Ga2Ni: optimized geometry, PBE-GGA.

a = 7.894 Å, b = 7.894 Å, c = 6.537 Å
α = 90.00°, β = 90.00°, γ = 150.06°
Sites, in units of the cell vectors:
1 Ga 0.683 0.317 0.449
2 Ga 0.317 0.683 0.551
3 Ga 0.683 0.317 0.051
4 Ga 0.317 0.683 0.949
5 Er 0.122 0.878 0.750
6 Er 0.878 0.122 0.250
7 Al 0.927 0.073 0.750
8 Al 0.500 0.500 0.000
9 Al 0.500 0.500 0.500
10 Al 0.073 0.927 0.250
11 Ni 0.225 0.775 0.250
12 Ni 0.775 0.225 0.750

Calculated values
Magnetization: 0.00 μB/f.u.
Space group: Cmcm, No. 63
DFT total energy: -4.458 eV per atom


[2]
Er2Al3GaNi2: optimized geometry, PBE-GGA.

a = 5.420 Å, b = 5.420 Å, c = 6.829 Å
α = 90.02°, β = 90.02°, γ = 43.93°
Sites, in units of the cell vectors:
1 Ni 0.787 0.787 0.251
2 Ni 0.216 0.216 0.751
3 Er 0.937 0.937 0.749
4 Er 0.064 0.064 0.252
5 Ga 0.650 0.650 0.552
6 Al 0.346 0.346 0.446
7 Al 0.654 0.654 0.945
8 Al 0.346 0.346 0.054

Calculated values
Magnetization: 0.00 μB/f.u.
Space group: Cm, No. 8
DFT total energy: -4.969 eV per atom


Repeat the second record exactly.
Er2Al3GaNi2: optimized geometry, PBE-GGA.

a = 5.420 Å, b = 5.420 Å, c = 6.829 Å
α = 90.02°, β = 90.02°, γ = 43.93°
Sites, in units of the cell vectors:
1 Ni 0.787 0.787 0.251
2 Ni 0.216 0.216 0.751
3 Er 0.937 0.937 0.749
4 Er 0.064 0.064 0.252
5 Ga 0.650 0.650 0.552
6 Al 0.346 0.346 0.446
7 Al 0.654 0.654 0.945
8 Al 0.346 0.346 0.054

Calculated values
Magnetization: 0.00 μB/f.u.
Space group: Cm, No. 8
DFT total energy: -4.969 eV per atom


- What is the magnetization in the first record?
  0.00 μB/f.u.


- The highest DFT total energy belongs to which entry?
  ErAl2Ga2Ni